Entry 1:
Entry from the Alexandria database: a relaxed structure of LiAl3Ga4 (GGA-PBE).

Geometry as POSCAR:
```
LiAl3Ga4
1.0
8.1290 -2.0684 0.0000
8.1290 2.0684 0.0000
-1.0302 0.0000 4.0116
Li Al Ga
1 3 4
Cartesian
0.0000 0.0000 0.0000
3.7665 0.0000 0.9915
7.6139 0.0000 2.0058
11.4613 0.0000 3.0201
1.3780 0.0000 2.4993
5.2080 0.0000 3.5168
10.0198 0.0000 0.4948
13.8498 0.0000 1.5123
```

Properties
Calculated total energy (eV per atom): -3.228
ΔH_f (0 K) (eV/atom): -0.072



Entry 2:
Entry from the Alexandria database: a relaxed structure of LiAl2Ga6 (GGA-PBE).

Geometry as POSCAR:
```
LiAl2Ga6
1.0
6.0382 0.0000 0.0000
0.0000 6.4538 0.0000
-4.5658 0.0000 8.7374
Li Al Ga
2 4 12
Cartesian
0.0000 0.0000 0.0000
-2.2829 3.2269 4.3687
-1.4530 0.6217 7.5077
0.8299 2.6052 3.1390
0.6426 3.8486 5.5985
2.9255 5.8321 1.2297
-0.9848 0.8092 2.5238
-3.2677 2.4177 6.8926
1.0604 3.9525 0.5466
-1.2225 5.7282 4.9153
-1.3232 4.3844 7.5061
0.9597 5.2963 3.1373
0.5128 1.1575 5.6001
2.7957 2.0694 1.2314
2.6949 0.7256 3.8221
0.4120 2.5013 8.1909
4.7401 4.0361 1.8449
2.4572 5.6446 6.2136
```

Properties
Polymorph energy (0 for the lowest one) (eV per atom): 0.031
Calculated total energy (eV per atom): -3.064
ΔH_f (0 K) (eV/atom): -0.001



Entry 3:
Entry from the Alexandria database: a relaxed structure of Li2AlGa2 (GGA-PBE).

Geometry as POSCAR:
```
Li2AlGa2
1.0
-1.8332 1.8332 6.4106
1.8332 -1.8332 6.4106
1.8332 1.8332 -6.4106
Li Al Ga
2 1 2
Cartesian
1.8332 0.0000 3.2053
0.0000 1.8332 3.2053
0.0000 0.0000 0.0000
0.0000 0.0000 5.1515
0.0000 0.0000 7.6697
```

Properties
Polymorph energy (0 for the lowest one) (eV per atom): 0.137
Calculated total energy (eV per atom): -2.796
ΔH_f (0 K) (eV/atom): -0.072



Entry 4:
Entry from the Alexandria database: a relaxed structure of Li4AlGa3 (GGA-PBE).

Geometry as POSCAR:
```
Li4AlGa3
1.0
4.3988 0.0000 0.0000
0.0000 2.8026 0.0000
-2.1625 0.0000 11.5247
Li Al Ga
4 1 3
Cartesian
0.0108 0.0000 2.4360
0.0121 0.0000 5.0222
2.2242 0.0000 6.5025
2.2255 0.0000 9.0887
0.0000 1.4013 0.0000
0.0284 1.4013 7.6846
2.1994 0.0000 0.0000
2.2079 1.4013 3.8401
```

Properties
Calculated total energy (eV per atom): -2.661
ΔH_f (0 K) (eV/atom): -0.101



Entry 5:
Entry from the Alexandria database: a relaxed structure of Li3Al2Ga3 (GGA-PBE).

Geometry as POSCAR:
```
Li3Al2Ga3
1.0
2.1210 -5.0914 0.0000
2.1210 5.0914 0.0000
0.0000 0.0000 12.8949
Li Al Ga
6 4 6
Cartesian
2.1210 4.3810 7.8079
2.1210 4.3810 11.5345
2.1210 2.0871 9.6712
2.1210 -2.0871 3.2237
2.1210 -4.3810 1.3605
2.1210 -4.3810 5.0870
2.1210 2.6945 1.1422
2.1210 2.6945 5.3053
2.1210 -2.6945 7.5896
2.1210 -2.6945 11.7528
2.1210 0.9491 3.2237
2.1210 0.8794 7.3819
2.1210 0.8794 11.9605
2.1210 -0.8794 0.9344
2.1210 -0.8794 5.5130
2.1210 -0.9491 9.6712
```

Properties
Calculated total energy (eV per atom): -2.943
ΔH_f (0 K) (eV/atom): -0.155



Entry 6:
Entry from the Alexandria database: a relaxed structure of Li3AlGa5 (GGA-PBE).

Geometry as POSCAR:
```
Li3AlGa5
1.0
-3.8677 3.8677 5.3323
3.8677 -3.8677 5.3323
3.8677 3.8677 -5.3323
Li Al Ga
6 2 10
Cartesian
4.6801 0.8124 0.0000
0.0000 0.0000 2.6662
0.8124 3.0553 0.0000
3.0553 0.8124 5.3323
0.0000 0.0000 7.9985
-0.8124 3.0553 5.3323
3.8677 0.0000 2.6662
0.0000 3.8677 2.6662
0.0000 0.0000 0.0000
2.2863 1.5814 -1.3864
2.2863 -1.5814 3.9459
2.2863 1.5814 1.3864
2.2863 -1.5814 6.7187
0.0000 0.0000 5.3323
1.5814 5.4492 -1.3864
1.5814 2.2863 3.9459
1.5814 5.4492 1.3864
1.5814 2.2863 6.7187
```

Properties
Calculated total energy (eV per atom): -2.803
ΔH_f (0 K) (eV/atom): -0.068



Entry 7:
Entry from the Alexandria database: a relaxed structure of LiAlGa2 (GGA-PBE).

Geometry as POSCAR:
```
LiAlGa2
1.0
3.2511 0.0000 0.0000
0.0000 3.2511 0.0000
0.0000 0.0000 6.4549
Li Al Ga
1 1 2
Cartesian
0.0000 0.0000 0.0000
0.0000 0.0000 3.2275
1.6255 1.6255 1.6132
1.6255 1.6255 4.8417
```

Properties
Calculated total energy (eV per atom): -3.040
ΔH_f (0 K) (eV/atom): -0.112



Entry 8:
Entry from the Alexandria database: a relaxed structure of LiAl5Ga4 (GGA-PBE).

Geometry as POSCAR:
```
LiAl5Ga4
1.0
7.7271 -1.4194 0.0000
7.7271 1.4194 0.0000
-5.0042 0.0000 8.3076
Li Al Ga
1 5 4
Cartesian
0.0000 0.0000 0.0000
-2.5021 0.0000 4.1538
0.1157 0.0000 8.1305
3.7257 0.0000 2.3232
6.7244 0.0000 5.9844
10.3344 0.0000 0.1771
1.1407 0.0000 2.8532
3.8516 0.0000 6.1475
6.5985 0.0000 2.1601
9.3094 0.0000 5.4544
```

Properties
Polymorph energy (0 for the lowest one) (eV per atom): 0.000
Calculated total energy (eV per atom): -3.250
ΔH_f (0 K) (eV/atom): 0.023



Entry 9:
Entry from the Alexandria database: a relaxed structure of Li3AlGa4 (GGA-PBE).

Geometry as POSCAR:
```
Li3AlGa4
1.0
2.8172 -2.8036 0.0000
2.8172 2.8036 0.0000
-2.6349 0.0000 8.1672
Li Al Ga
3 1 4
Cartesian
0.0000 0.0000 0.0000
0.0916 0.0000 4.0495
2.9079 0.0000 4.1177
2.8172 0.0000 0.0000
1.4582 1.4103 2.0223
1.5412 1.4103 6.1450
1.4582 -1.4103 2.0223
1.5412 -1.4103 6.1450
```

Properties
Polymorph energy (0 for the lowest one) (eV per atom): 0.000
Calculated total energy (eV per atom): -2.933
ΔH_f (0 K) (eV/atom): -0.234



Entry 10:
Entry from the Alexandria database: a relaxed structure of LiAl6Ga (GGA-PBE).

Geometry as POSCAR:
```
LiAl6Ga
1.0
4.9578 0.0000 0.0000
0.0000 4.9578 0.0000
0.0000 0.0000 5.5176
Li Al Ga
1 6 1
Cartesian
0.0000 0.0000 0.0000
0.0000 2.4789 1.3778
0.0000 2.4789 4.1398
2.4789 0.0000 1.3778
2.4789 0.0000 4.1398
2.4789 2.4789 0.0000
2.4789 2.4789 2.7588
0.0000 0.0000 2.7588
```

Properties
Polymorph energy (0 for the lowest one) (eV per atom): 0.000
Calculated total energy (eV per atom): -3.412
ΔH_f (0 K) (eV/atom): 0.013



Entry 11:
Entry from the Alexandria database: a relaxed structure of LiAl8Ga2 (GGA-PBE).

Geometry as POSCAR:
```
LiAl8Ga2
1.0
5.3859 -3.5477 0.0000
5.3859 3.5477 0.0000
-1.3833 0.0000 5.7745
Li Al Ga
1 8 2
Cartesian
0.0000 0.0000 0.0000
3.9919 1.3822 0.1003
2.1528 0.0000 1.6093
5.3966 1.3822 5.6742
3.7895 0.0000 3.8274
5.5990 0.0000 1.9470
3.9919 -1.3822 0.1003
7.2357 0.0000 4.1651
5.3966 -1.3822 5.6742
0.8200 0.0000 3.9905
8.5685 0.0000 1.7840
```

Properties
Calculated total energy (eV per atom): -3.269
ΔH_f (0 K) (eV/atom): 0.177



Entry 12:
Entry from the Alexandria database: a relaxed structure of LiAl3Ga7 (GGA-PBE).

Geometry as POSCAR:
```
LiAl3Ga7
1.0
4.5829 -4.9932 0.0000
4.5829 4.9932 0.0000
-2.0856 0.0000 4.5593
Li Al Ga
1 3 7
Cartesian
0.0000 0.0000 0.0000
3.5401 2.3526 2.2796
4.5829 0.0000 0.0000
3.5401 -2.3526 2.2796
-1.0428 0.0000 2.2796
1.2849 2.3866 3.7942
2.0983 0.0000 1.7408
5.7952 2.3866 0.7651
1.2849 -2.3866 3.7942
4.9819 0.0000 2.8185
5.7952 -2.3866 0.7651
```

Properties
Calculated total energy (eV per atom): -3.047
ΔH_f (0 K) (eV/atom): 0.074